(1)
# CeLuBeAl | Alexandria via LeMat-Bulk | PBE | optimized geometry
# Formation energy from the elements, kJ/mol of formula units: -35
# Crystal system: cubic
data_CeLuBeAl
_chemical_formula_sum 'Ce4 Lu4 Be4 Al4'
_cell_length_a 6.9843
_cell_length_b 6.9843
_cell_length_c 6.9843
_cell_angle_alpha 90.00
_cell_angle_beta 90.00
_cell_angle_gamma 90.00
_space_group_name_H-M_alt 'F -4 3 m'
_space_group_IT_number 216
_space_group_name_Hall 'F -4 2 3'
loop_
_atom_site_label
_atom_site_type_symbol
_atom_site_fract_x
_atom_site_fract_y
_atom_site_fract_z
Ce1 Ce 0.0000 0.0000 0.0000
Lu1 Lu 0.0000 0.0000 0.5000
Be1 Be 0.2500 0.2500 0.7500
Al1 Al 0.2500 0.2500 0.2500

=====

(2)
# Zr4NO | Alexandria via LeMat-Bulk | PBE | optimized geometry
# Energy above the lowest structure with this stoichiometry, meV/atom: 0.0
# Crystal system: tetragonal
# E_form (uncorrected), eV per atom: -1.488
data_Zr4NO
_chemical_formula_sum 'Zr16 N4 O4'
_cell_length_a 7.6922
_cell_length_b 7.6922
_cell_length_c 6.6206
_cell_angle_alpha 90.00
_cell_angle_beta 90.00
_cell_angle_gamma 90.00
_space_group_name_H-M_alt 'I 41 m d'
_space_group_IT_number 109
_space_group_name_Hall 'I 4bw -2'
loop_
_atom_site_label
_atom_site_type_symbol
_atom_site_fract_x
_atom_site_fract_y
_atom_site_fract_z
Zr1 Zr 0.0000 0.2923 0.0000
Zr2 Zr 0.0000 0.2931 0.4923
N1 N 0.0000 0.0000 0.9974
O1 O 0.0000 0.0000 0.4954

=====

(3)
# Na2BeOsO4 | Alexandria via LeMat-Bulk | PBE | optimized geometry
# Crystal system: tetragonal
# E_form (uncorrected), eV per atom: -1.454
data_Na2BeOsO4
_chemical_formula_sum 'Na4 Be2 Os2 O8'
_cell_length_a 5.6172
_cell_length_b 5.6172
_cell_length_c 6.1126
_cell_angle_alpha 90.00
_cell_angle_beta 90.00
_cell_angle_gamma 90.00
_space_group_name_H-M_alt 'I -4'
_space_group_IT_number 82
loop_
_space_group_symop_operation_xyz
'x,y,z'
'y,-x,-z'
'-x,-y,z'
'-y,x,-z'
'x+1/2,y+1/2,z+1/2'
'y+1/2,-x+1/2,-z+1/2'
'-x+1/2,-y+1/2,z+1/2'
'-y+1/2,x+1/2,-z+1/2'
loop_
_atom_site_label
_atom_site_type_symbol
_atom_site_fract_x
_atom_site_fract_y
_atom_site_fract_z
Na1 Na 0.0000 0.0000 0.0000
Na2 Na 0.0000 0.5000 0.2500
Be1 Be 0.0000 0.0000 0.5000
Os1 Os 0.0000 0.5000 0.7500
O1 O 0.1240 0.1945 0.6725